! GGA-PBE Cs4Dy3HfTe8, optimized geometry; values from VASP
! space-group type = R-3m (166)
! volume = 38.55 A^3/atom
! formation energy (no corrections) = -19.802 eV per formula unit
! electronic total energy = -4.507 eV per atom
&SYSTEM
  ibrav = 0, nat = 16, ntyp = 4
/
ATOMIC_SPECIES
Cs 132.91 Cs.upf
Dy 162.50 Dy.upf
Hf 178.49 Hf.upf
Te 127.60 Te.upf
CELL_PARAMETERS angstrom
4.463 2.577 8.937
-4.463 2.577 8.937
0.000 -5.153 8.937
ATOMIC_POSITIONS crystal
Cs 0.000 0.000 0.000
Cs 0.000 0.500 0.500
Cs 0.500 0.000 0.500
Cs 0.500 0.500 0.000
Dy 0.000 0.000 0.500
Dy 0.000 0.500 0.000
Dy 0.500 0.000 0.000
Hf 0.500 0.500 0.500
Te 0.231 0.231 0.231
Te 0.244 0.722 0.722
Te 0.278 0.278 0.756
Te 0.278 0.756 0.278
Te 0.722 0.244 0.722
Te 0.722 0.722 0.244
Te 0.756 0.278 0.278
Te 0.769 0.769 0.769

! GGA-PBE Ba2CaTlPd, optimized geometry; values from VASP
! E above lowest polymorph = 0 meV/atom
! DFT formation energy = -0.31 eV per atom
! space-group type = P4/mmm (123)
! volume = 42.52 A^3/atom
! electronic total energy = -2.988 eV per atom
&SYSTEM
  ibrav = 0, nat = 5, ntyp = 4
/
ATOMIC_SPECIES
Ba 137.33 Ba.upf
Ca 40.08 Ca.upf
Tl 204.38 Tl.upf
Pd 106.42 Pd.upf
CELL_PARAMETERS angstrom
6.181 0.000 0.000
0.000 6.181 0.000
0.000 0.000 5.566
ATOMIC_POSITIONS crystal
Ba 0.000 0.500 0.000
Ba 0.500 0.000 0.000
Ca 0.000 0.000 0.500
Tl 0.500 0.500 0.500
Pd 0.000 0.000 0.000

! GGA-PBE FeMo2I, optimized geometry; values from VASP
! E above lowest polymorph = 0 meV/atom
! space-group type = Fm-3m (225)
! volume = 15.79 A^3/atom
! formation energy (no corrections) = 3.712 eV per formula unit
! electronic total energy = -6.991 eV per atom
&SYSTEM
  ibrav = 0, nat = 4, ntyp = 3
/
ATOMIC_SPECIES
Fe 55.84 Fe.upf
Mo 95.94 Mo.upf
I 126.90 I.upf
CELL_PARAMETERS angstrom
0.000 3.161 3.161
3.161 0.000 3.161
3.161 3.161 0.000
ATOMIC_POSITIONS crystal
Fe 0.000 0.000 0.000
Mo 0.250 0.250 0.250
Mo 0.750 0.750 0.750
I 0.500 0.500 0.500

Number 1: D(E_F) 0.32 states/eV/atom. Number 2: D(E_F) 1.01 states/eV/atom. Number 3: D(E_F) 0.89 states/eV/atom.